Material: Pm3Pu2PaN6
Method: DFT, PBE-GGA
State: optimized geometry

Results
D(E_F), states/eV per atom: 1.01
Volume, Å³/f.u.: 189
Energy relative to the elements, uncorrected, eV per atom: -1.45

Cell lengths 6.1461, 10.6392, 6.1458 Å; angles 90.00, 109.48, 90.00 degrees
Space group C2/m (No. 12)
One atom of each set of equivalent atoms:
Pm 0.0000 0.0000 0.0000
Pm 0.0000 0.3317 0.0000
Pu 0.0000 0.1663 0.5000
Pa 0.0000 0.5000 0.5000
N 0.2378 0.3375 0.7265
N 0.2499 0.0000 0.7263